Material: Sr3Ta4O12
Method: DFT, PBE
State: relaxed

Structure (POSCAR):
```
Sr3Ta4O12
1.0
-2.726 -4.124 4.924
5.222 -3.340 -3.202
2.432 5.840 2.942
Sr O Ta
3 12 4
Direct
0.500 0.500 0.000
0.000 0.500 0.500
0.500 0.000 0.500
0.489 0.752 0.737
0.248 0.737 0.985
0.015 0.752 0.263
0.511 0.248 0.263
0.263 0.015 0.752
0.737 0.489 0.752
0.752 0.263 0.015
0.248 0.263 0.511
0.263 0.511 0.248
0.737 0.985 0.248
0.985 0.248 0.737
0.752 0.737 0.489
0.500 0.500 0.500
0.000 0.500 0.000
0.000 0.000 0.500
0.500 0.000 0.000
```

Properties
The calculation puts the uncorrected formation energy at -56.31 eV per formula unit. The space group is Im-3.



Material: HoEr7Th3
Method: DFT, PBE
State: relaxed

Structure (POSCAR):
```
HoEr7Th3
1.0
-4.430 -3.164 -0.567
3.889 -6.614 6.526
0.660 7.846 3.899
Er Th Ho
7 3 1
Direct
0.846 0.707 0.346
0.914 0.829 0.914
0.086 0.171 0.086
0.687 0.362 0.187
0.154 0.293 0.654
0.313 0.638 0.813
0.500 0.000 0.500
0.722 0.999 0.222
0.278 0.001 0.778
0.000 0.500 0.000
0.500 0.500 0.500
```

Properties
The calculation puts the formation energy at 1.70 eV/f.u. The energy above the most stable polymorph in this dataset comes out at 0 meV per atom. The space group is P2/m.



Material: BiRuS2N
Method: DFT, PBE
State: relaxed

Structure (POSCAR):
```
BiRuS2N
1.0
4.921 0.000 0.000
0.000 4.921 0.000
0.000 0.000 3.701
Ru S N Bi
1 2 1 1
Direct
0.000 0.000 0.000
0.500 0.000 0.000
0.000 0.500 0.000
0.000 0.000 0.500
0.500 0.500 0.500
```

Properties
The energy above the most stable polymorph in this dataset comes out at 0 meV per atom. The calculation puts the uncorrected formation energy at 1.07 eV per formula unit. The space group is P4/mmm.



Material: Sm6SiRh2Br3
Method: DFT, PBE
State: relaxed

Structure (POSCAR):
```
Sm6SiRh2Br3
1.0
-1.213 6.940 1.478
-4.835 -3.781 -3.761
-1.446 -3.030 7.200
Sm Br Rh Si
6 3 2 1
Direct
0.065 0.410 0.200
0.590 0.935 0.800
0.721 0.721 0.199
0.279 0.279 0.801
0.935 0.590 0.800
0.410 0.065 0.200
0.161 0.839 0.500
0.839 0.161 0.500
0.500 0.500 0.500
0.667 0.333 0.000
0.333 0.667 0.000
0.000 0.000 0.000
```

Properties
The calculation puts the uncorrected formation energy at -12.16 eV per formula unit. The space group is C2/m.



Material: Ho5TmRh4
Method: DFT, PBE
State: relaxed

Structure (POSCAR):
```
Ho5TmRh4
1.0
-3.360 -2.360 0.959
2.376 -5.186 -4.437
4.639 0.382 7.923
Tm Rh Ho
1 4 5
Direct
0.500 0.000 0.000
0.302 0.802 0.603
0.000 0.746 0.000
0.698 0.198 0.397
0.000 0.254 0.000
0.165 0.410 0.330
0.835 0.080 0.670
0.165 0.920 0.330
0.500 0.500 0.000
0.835 0.590 0.670
```

Properties
The calculation puts the formation energy at -6.70 eV/f.u. The space group is Immm.



Material: ZnIrO4
Method: DFT, PBE
State: relaxed

Structure (POSCAR):
```
ZnIrO4
1.0
4.628 0.000 0.000
0.000 5.498 0.110
0.000 -2.080 5.224
O Zn Ir
8 2 2
Direct
0.712 0.167 0.859
0.288 0.833 0.141
0.683 0.632 0.327
0.317 0.368 0.673
0.212 0.333 0.141
0.817 0.132 0.327
0.183 0.868 0.673
0.788 0.667 0.859
0.000 0.500 0.500
0.500 0.000 0.500
0.500 0.500 0.000
0.000 0.000 0.000
```

Properties
The energy above the most stable polymorph in this dataset comes out at 0 meV per atom. The calculation puts the uncorrected formation energy at -4.95 eV per formula unit. The space group is P2_1/c.



Material: Mn2CoNi9
Method: DFT, PBE
State: relaxed

Structure (POSCAR):
```
Mn2CoNi9
1.0
3.552 0.000 0.000
0.000 3.552 0.000
0.000 0.000 10.704
Ni Co Mn
9 1 2
Direct
0.000 0.500 0.162
0.000 0.500 0.838
0.500 0.000 0.838
0.500 0.500 0.669
0.500 0.500 0.331
0.500 0.500 0.000
0.000 0.500 0.500
0.500 0.000 0.162
0.500 0.000 0.500
0.000 0.000 0.000
0.000 0.000 0.667
0.000 0.000 0.333
```

Properties
The calculation puts the formation energy at -0.77 eV/f.u. The space group is P4/mmm.



Material: Tm8Sc2Pb
Method: DFT, PBE
State: relaxed

Structure (POSCAR):
```
Tm8Sc2Pb
1.0
-3.077 -3.609 -0.873
3.189 -4.096 5.691
-4.919 6.422 4.106
Sc Tm Pb
2 8 1
Direct
0.777 0.368 0.554
0.223 0.632 0.446
0.954 0.278 0.908
0.140 0.186 0.280
0.595 0.448 0.190
0.683 0.910 0.366
0.860 0.814 0.720
0.405 0.552 0.810
0.317 0.090 0.634
0.046 0.722 0.092
0.500 0.000 0.000
```

Properties
The calculation puts the formation energy at -0.73 eV/f.u. The energy above the most stable polymorph in this dataset comes out at 0 meV per atom. The space group is C2/m.



Material: HOsBrF
Method: DFT, PBE
State: relaxed

Structure (POSCAR):
```
HOsBrF
1.0
-2.670 -1.094 0.013
-0.685 -2.100 -1.858
1.657 -6.233 6.122
Br Os F H
1 1 1 1
Direct
0.281 0.819 0.776
0.536 0.176 0.003
0.457 0.308 0.403
0.651 0.483 0.367
```

Properties
The energy above the most stable polymorph in this dataset comes out at 256 meV per atom. The space group is P1.



Material: Dy8Si3Te4S
Method: DFT, PBE
State: relaxed

Structure (POSCAR):
```
Dy8Si3Te4S
1.0
-0.162 -5.374 -6.409
8.208 1.731 -1.659
-2.175 -2.560 7.661
Dy Te S Si
8 4 1 3
Direct
0.241 0.717 0.482
0.759 0.283 0.518
0.740 0.720 0.480
0.265 0.284 0.024
0.759 0.284 0.024
0.241 0.716 0.976
0.735 0.716 0.976
0.260 0.280 0.520
0.500 0.000 0.000
0.000 0.000 0.000
0.500 0.000 0.500
0.000 0.000 0.500
0.000 0.500 0.000
0.000 0.500 0.500
0.500 0.500 0.000
0.500 0.500 0.500
```

Properties
The calculation puts the uncorrected formation energy at -20.34 eV per formula unit. The space group is R-3m.



Material: Sr5Ca
Method: DFT, PBE
State: relaxed

Structure (POSCAR):
```
Sr5Ca
1.0
4.702 0.000 0.000
0.000 6.628 0.000
0.000 -3.314 9.927
Ca Sr
1 5
Direct
0.000 0.000 0.000
0.500 0.500 0.000
0.500 0.162 0.324
0.000 0.332 0.664
0.500 0.838 0.676
0.000 0.668 0.336
```

Properties
The calculation puts the formation energy at 0.09 eV/f.u. The energy above the most stable polymorph in this dataset comes out at 6 meV per atom. The space group is Cmmm.



Material: Cr2InSiI
Method: DFT, PBE
State: relaxed

Structure (POSCAR):
```
Cr2InSiI
1.0
4.931 0.000 0.000
0.000 5.568 0.000
0.000 0.000 4.931
Cr I In Si
2 1 1 1
Direct
0.500 0.000 0.000
0.000 0.000 0.500
0.500 0.500 0.500
0.000 0.500 0.000
0.000 0.000 0.000
```

Properties
The calculation puts the uncorrected formation energy at 3.07 eV per formula unit. The space group is P4/mmm.



The records above give, respectively, density of states at the Fermi level values of 0.245 1.335 0.793 0.629 0.474 0.796 1.111 1.445 0.538 0.256 1.181 0.546 states/eV/atom.